CePm2Tl, optimized geometry, DFT PBE-GGA; final energy = -4.456 eV/atom; ΔH_f (0 K) = -0.006 eV/atom; energy relative to the lowest polymorph listed for this composition = 149 meV per atom
1.0
5.510 0.000 0.000
2.755 4.772 0.000
2.755 1.591 4.499
Tl Ce Pm
1 1 2
Cartesian
5.510 3.181 2.249
0.000 0.000 0.000
2.755 1.591 1.125
8.265 4.772 3.374